[1]
The following is a PBE calculation of a relaxed structure of La4BeTe, from Alexandria via LeMat-Bulk.

a b c (Å): 6.396 6.396 6.396
angles (deg): 60.00 60.00 60.00
Positions (direct):
Be (0.000, 0.000, 0.000)
La (0.877, 0.374, 0.374)
La (0.374, 0.877, 0.374)
La (0.374, 0.374, 0.374)
La (0.374, 0.374, 0.877)
Te (0.750, 0.750, 0.750)

Output
- DOS(E_F): 1.331 states/eV per atom
- Formation energy without anion corrections: 0.31 eV/atom
- Space group: F-43m

[2]
The following is a PBE calculation of a relaxed structure of GaNi2Ir6, from Alexandria via LeMat-Bulk.

a b c (Å): 8.394 8.308 8.308
angles (deg): 97.82 55.43 55.43
Positions (direct):
Ir (0.070, 0.063, 0.849)
Ir (0.930, 0.937, 0.151)
Ir (0.484, 0.585, 0.653)
Ir (0.570, 0.849, 0.063)
Ir (0.516, 0.415, 0.347)
Ir (0.441, 0.441, 0.915)
Ir (0.559, 0.559, 0.085)
Ir (0.430, 0.151, 0.937)
Ir (0.059, 0.085, 0.559)
Ir (0.016, 0.347, 0.415)
Ir (0.941, 0.915, 0.441)
Ir (0.984, 0.653, 0.585)
Ga (0.250, 0.245, 0.755)
Ga (0.750, 0.755, 0.245)
Ni (0.602, 0.803, 0.608)
Ni (0.102, 0.608, 0.803)
Ni (0.398, 0.197, 0.392)
Ni (0.898, 0.392, 0.197)

Output
- Formation enthalpy at 0 K: 334 meV/atom
- DOS(E_F): 0.942 states/eV per atom
- Space group: C2/c

For reference, spin magnetization by record: 0.001, 0.000 μB per formula unit.